TiSn2As2: relaxed, PBE-GGA.

Cell and atoms, written as CIF:
```
data_TiSn2As2
_chemical_formula_sum 'Ti2 Sn4 As4'
_cell_length_a 6.9009
_cell_length_b 6.9009
_cell_length_c 4.6576
_cell_angle_alpha 90.00
_cell_angle_beta 90.00
_cell_angle_gamma 90.00
_symmetry_space_group_name_H-M 'P 4/m b m'
_symmetry_Int_Tables_number 127
_symmetry_space_group_name_Hall '-P 4 2ab'
loop_
_atom_site_label
_atom_site_type_symbol
_atom_site_fract_x
_atom_site_fract_y
_atom_site_fract_z
Ti1 Ti 0.0000 0.0000 0.0000
Sn1 Sn 0.1642 0.3358 0.5000
As1 As 0.1555 0.6555 0.0000
```

Summary:
ρ = 6.5 g/cm³
calculated formation energy = -0.0891 eV/atom
D(E_F) = 0.730 states/eV per atom
electronic total energy = -5.13 eV/atom